1.
Sm4Ho7Sc after structural relaxation, computed with PBE-GGA.

The structure belongs to space group C2/m (No. 12); the cell edges are 11.358, 5.313 and 13.073 Å and the angles 90.00°, 104.32° and 90.00°. The distinct sites, in fractional coordinates, are Sm at (0.038, 0.000, 0.284), Sm at (0.177, 0.500, 0.763), Ho at (0.000, 0.500, 0.500), Ho at (0.088, 0.500, 0.129), Ho at (0.139, 0.000, 0.965), Ho at (0.234, 0.500, 0.398) and Sc at (0.000, 0.000, 0.500).

---

2.
Sm2Ho3Sc3 after structural relaxation, computed with PBE-GGA.

The structure belongs to space group R-3m (No. 166, hexagonal axes); the cell edges are 6.1331, 6.1331 and 22.6144 Å and the angles 90.00°, 90.00° and 120.00°. The distinct sites, in fractional coordinates, are Sm at (0.0000, 0.0000, 0.2090), Ho at (0.0000, 0.0000, 0.0713), Ho at (0.0000, 0.0000, 0.5000) and Sc at (0.0000, 0.5000, 0.0000).

---

| no. | calculated formation energy (eV per atom) | Fermi-level density of states (states/eV/atom) | magnetization (μB/f.u.) |
| --- | --- | --- | --- |
| 1 | 0.199 | 1.3475 | 0.3 |
| 2 | 0.265 | 2.4114 | 0.3 |